# Mg2TcMo | Alexandria via LeMat-Bulk | GGA-PBE | optimized geometry
data_Mg2TcMo
_symmetry_space_group_name_H-M 'P 1'
_symmetry_Int_Tables_number 1
_symmetry_space_group_name_Hall 'P 1'
_cell_length_a 4.445
_cell_length_b 2.776
_cell_length_c 5.559
_cell_angle_alpha 80.15
_cell_angle_beta 90.00
_cell_angle_gamma 90.00
loop_
_atom_site_label
_atom_site_type_symbol
_atom_site_fract_x
_atom_site_fract_y
_atom_site_fract_z
Tc1 Tc 0.500 0.707 0.727
Mo1 Mo 0.000 0.550 0.525
Mg1 Mg 0.000 0.982 0.994
Mg2 Mg 0.500 0.260 0.255
# M_tot: 0.0 Bohr magnetons per cell
# Energy above the lowest structure with this stoichiometry: 11.2 kJ per mole of atoms
# V: 16.9 Å³ per atom
# VASP energy: -23.68 eV/f.u.

# MgTcMo2 | Alexandria via LeMat-Bulk | GGA-PBE | optimized geometry
data_MgTcMo2
_symmetry_space_group_name_H-M 'P 1'
_symmetry_Int_Tables_number 1
_symmetry_space_group_name_Hall 'P 1'
_cell_length_a 4.452
_cell_length_b 2.687
_cell_length_c 5.357
_cell_angle_alpha 80.59
_cell_angle_beta 90.00
_cell_angle_gamma 90.00
loop_
_atom_site_label
_atom_site_type_symbol
_atom_site_fract_x
_atom_site_fract_y
_atom_site_fract_z
Mg1 Mg 0.500 0.741 0.748
Mo1 Mo 0.000 0.041 0.996
Mo2 Mo 0.500 0.258 0.253
Tc1 Tc 0.000 0.460 0.504
# M_tot: 0.0 Bohr magnetons per cell
# V: 15.8 Å³ per atom
# VASP energy: -32.87 eV/f.u.

# MgTcMo2 | Alexandria via LeMat-Bulk | GGA-PBE | optimized geometry
data_MgTcMo2
_symmetry_space_group_name_H-M 'P 1'
_symmetry_Int_Tables_number 1
_symmetry_space_group_name_Hall 'P 1'
_cell_length_a 2.835
_cell_length_b 2.835
_cell_length_c 8.245
_cell_angle_alpha 90.00
_cell_angle_beta 90.00
_cell_angle_gamma 90.00
loop_
_atom_site_label
_atom_site_type_symbol
_atom_site_fract_x
_atom_site_fract_y
_atom_site_fract_z
Mo1 Mo 0.000 0.000 0.472
Mo2 Mo 0.000 0.000 0.028
Mg1 Mg 0.500 0.500 0.750
Tc1 Tc 0.500 0.500 0.250
# M_tot: 0.0 Bohr magnetons per cell
# V: 16.6 Å³ per atom
# VASP energy: -32.35 eV/f.u.

# MgTcMo2 | Alexandria via LeMat-Bulk | GGA-PBE | optimized geometry
data_MgTcMo2
_symmetry_space_group_name_H-M 'P 1'
_symmetry_Int_Tables_number 1
_symmetry_space_group_name_Hall 'P 1'
_cell_length_a 2.737
_cell_length_b 2.737
_cell_length_c 9.107
_cell_angle_alpha 90.00
_cell_angle_beta 90.00
_cell_angle_gamma 109.34
loop_
_atom_site_label
_atom_site_type_symbol
_atom_site_fract_x
_atom_site_fract_y
_atom_site_fract_z
Mo1 Mo 0.000 0.000 0.012
Mo2 Mo 0.500 0.500 0.254
Mg1 Mg 0.500 0.500 0.745
Tc1 Tc 0.000 0.000 0.489
# M_tot: 0.0 Bohr magnetons per cell
# V: 16.1 Å³ per atom
# VASP energy: -33.02 eV/f.u.

# MgTcMo2 | Alexandria via LeMat-Bulk | GGA-PBE | optimized geometry
data_MgTcMo2
_symmetry_space_group_name_H-M 'P 1'
_symmetry_Int_Tables_number 1
_symmetry_space_group_name_Hall 'P 1'
_cell_length_a 4.289
_cell_length_b 4.289
_cell_length_c 3.432
_cell_angle_alpha 90.00
_cell_angle_beta 90.00
_cell_angle_gamma 90.00
loop_
_atom_site_label
_atom_site_type_symbol
_atom_site_fract_x
_atom_site_fract_y
_atom_site_fract_z
Tc1 Tc 0.500 0.000 0.500
Mo1 Mo 0.000 0.000 0.000
Mo2 Mo 0.500 0.500 0.000
Mg1 Mg 0.000 0.500 0.500
# M_tot: 0.0 Bohr magnetons per cell
# V: 15.8 Å³ per atom
# VASP energy: -31.99 eV/f.u.

# MgTcMo2 | Alexandria via LeMat-Bulk | GGA-PBE | optimized geometry
data_MgTcMo2
_symmetry_space_group_name_H-M 'P 1'
_symmetry_Int_Tables_number 1
_symmetry_space_group_name_Hall 'P 1'
_cell_length_a 5.239
_cell_length_b 5.239
_cell_length_c 5.239
_cell_angle_alpha 145.05
_cell_angle_beta 128.58
_cell_angle_gamma 63.69
loop_
_atom_site_label
_atom_site_type_symbol
_atom_site_fract_x
_atom_site_fract_y
_atom_site_fract_z
Tc1 Tc 0.515 0.515 0.000
Mg1 Mg 0.253 0.753 0.500
Mo1 Mo 0.748 0.248 0.500
Mo2 Mo 0.984 0.984 0.000
# M_tot: 0.0 Bohr magnetons per cell
# V: 15.9 Å³ per atom
# VASP energy: -32.82 eV/f.u.

Number 1: energy of formation from the pure elements 0.176 eV per atom. Number 2: energy of formation from the pure elements 0.189 eV per atom. Number 3: energy of formation from the pure elements 0.318 eV per atom. Number 4: energy of formation from the pure elements 0.150 eV per atom. Number 5: energy of formation from the pure elements 0.409 eV per atom. Number 6: energy of formation from the pure elements 0.199 eV per atom.